# TbTmBeZn

A relaxed TbTmBeZn crystal (PBE, Alexandria).

## Properties
- total moment (μB per atom) = 0.00

a = 4.920 Å, b = 4.920 Å, c = 4.920 Å
α = 60.00°, β = 60.00°, γ = 60.00°
Fractional positions:
Tm  0.250  0.250  0.250
Tb  0.750  0.750  0.750
Be  0.000  0.000  0.000
Zn  0.500  0.500  0.500


# Th3Ir8Rh

A relaxed Th3Ir8Rh crystal (PBE, Alexandria).

## Properties
- total moment (μB per atom) = 0.00

a = 5.403 Å, b = 5.403 Å, c = 8.792 Å
α = 90.00°, β = 90.00°, γ = 120.00°
Fractional positions:
Ir  0.672  0.836  0.258
Ir  0.333  0.667  0.005
Ir  0.501  0.499  0.752
Ir  0.501  0.002  0.752
Ir  0.333  0.667  0.507
Ir  0.164  0.328  0.258
Ir  0.164  0.836  0.258
Ir  0.998  0.499  0.752
Th  0.667  0.333  0.457
Th  0.000  0.000  0.898
Th  0.667  0.333  0.080
Rh  0.000  0.000  0.523


# Cr2Pt9Rh

A relaxed Cr2Pt9Rh crystal (PBE, Alexandria).

## Properties
- total moment (μB per atom) = 0.36

a = 3.921 Å, b = 3.921 Å, c = 11.801 Å
α = 90.00°, β = 90.00°, γ = 90.00°
Site moments in Bohr magnetons follow the coordinates.
Fractional positions:
Pt  0.000  0.500  0.829  -0.14
Pt  0.500  0.500  0.000  -0.13
Pt  0.500  0.000  0.829  -0.14
Pt  0.000  0.500  0.171  -0.14
Pt  0.500  0.500  0.335  -0.07
Pt  0.500  0.500  0.665  -0.07
Pt  0.500  0.000  0.171  -0.14
Pt  0.500  0.000  0.500  -0.07
Pt  0.000  0.500  0.500  -0.07
Cr  0.000  0.000  0.667  2.72
Cr  0.000  0.000  0.333  2.72
Rh  0.000  0.000  0.000  -0.49


# AcErScGa

A relaxed AcErScGa crystal (PBE, Alexandria).

## Properties
- total moment (μB per atom) = 0.21

a = 5.337 Å, b = 5.337 Å, c = 5.337 Å
α = 60.00°, β = 60.00°, γ = 60.00°
Site moments in Bohr magnetons follow the coordinates.
Fractional positions:
Ga  0.250  0.250  0.250  0.00
Sc  0.500  0.500  0.500  0.20
Ac  0.750  0.750  0.750  0.13
Er  0.000  0.000  0.000  0.18


| no. | formation enthalpy at 0 K (eV/atom) |
| --- | --- |
| 1 | -0.11 |
| 2 | -0.61 |
| 3 | -0.19 |
| 4 | 0.07 |